Entry 1:
# Cs2MnBBr6 PBE relaxed
data_Cs2MnBBr6
_chemical_formula_sum 'Cs4 Mn2 B2 Br12'
_cell_length_a 7.355
_cell_length_b 7.355
_cell_length_c 11.724
_cell_angle_alpha 90.00
_cell_angle_beta 90.00
_cell_angle_gamma 90.00
_space_group_name_H-M_alt 'I 4/m m m'
_space_group_IT_number 139
_space_group_name_Hall '-I 4 2'
loop_
_atom_site_label
_atom_site_type_symbol
_atom_site_fract_x
_atom_site_fract_y
_atom_site_fract_z
Cs1 Cs 0.000 0.500 0.250
Mn1 Mn 0.000 0.000 0.000
B1 B 0.000 0.000 0.500
Br1 Br 0.000 0.000 0.211
Br2 Br 0.229 0.229 0.500
# Crystal system: tetragonal
# Total magnetization in μB per atom: 0.400
# Energy in eV/atom: -3.49
# DOS(E_F) in states/eV per atom: 0.00
# Energy relative to the elements, uncorrected in eV/f.u.: -7.31

=====

Entry 2:
# TlB2Te2S6 PBE relaxed
data_TlB2Te2S6
_chemical_formula_sum 'Tl1 B2 Te2 S6'
_cell_length_a 6.294
_cell_length_b 6.847
_cell_length_c 7.921
_cell_angle_alpha 101.23
_cell_angle_beta 90.59
_cell_angle_gamma 106.35
_space_group_name_H-M_alt 'P -1'
_space_group_IT_number 2
loop_
_space_group_symop_operation_xyz
'x,y,z'
'-x,-y,-z'
loop_
_atom_site_label
_atom_site_type_symbol
_atom_site_fract_x
_atom_site_fract_y
_atom_site_fract_z
Tl1 Tl 0.000 0.000 0.000
B1 B 0.114 0.564 0.277
Te1 Te 0.302 0.297 0.682
S1 S 0.149 0.838 0.341
S2 S 0.172 0.602 0.765
S3 S 0.318 0.423 0.250
# Crystal system: triclinic
# Total magnetization in μB per atom: 0.000
# Energy in eV/atom: -4.45
# DOS(E_F) in states/eV per atom: 0.22
# Energy relative to the elements, uncorrected in eV/f.u.: -2.20

=====

Entry 3:
# Ac2HO PBE relaxed
data_Ac2HO
_chemical_formula_sum 'Ac6 H3 O3'
_cell_length_a 3.8881
_cell_length_b 3.8881
_cell_length_c 18.9112
_cell_angle_alpha 90.00
_cell_angle_beta 90.00
_cell_angle_gamma 120.00
_space_group_name_H-M_alt 'R -3 m'
_space_group_IT_number 166
_space_group_name_Hall '-R 3 2"'
loop_
_atom_site_label
_atom_site_type_symbol
_atom_site_fract_x
_atom_site_fract_y
_atom_site_fract_z
Ac1 Ac 0.0000 0.0000 0.2448
H1 H 0.0000 0.0000 0.0000
O1 O 0.0000 0.0000 0.5000
# Crystal system: trigonal
# E above lowest polymorph in meV/atom: 0.0
# Total magnetization in μB per atom: 0.000
# Energy in eV/atom: -5.53
# DOS(E_F) in states/eV per atom: 0.64

=====

Entry 4:
# MnCSeBr2 PBE relaxed
data_MnCSeBr2
_chemical_formula_sum 'Mn1 C1 Se1 Br2'
_cell_length_a 5.010
_cell_length_b 5.010
_cell_length_c 4.998
_cell_angle_alpha 90.00
_cell_angle_beta 90.00
_cell_angle_gamma 90.00
_space_group_name_H-M_alt 'P 4/m m m'
_space_group_IT_number 123
_space_group_name_Hall '-P 4 2'
loop_
_atom_site_label
_atom_site_type_symbol
_atom_site_fract_x
_atom_site_fract_y
_atom_site_fract_z
Mn1 Mn 0.000 0.000 0.000
C1 C 0.500 0.500 0.500
Se1 Se 0.000 0.000 0.500
Br1 Br 0.000 0.500 0.000
# Crystal system: tetragonal
# E above lowest polymorph in meV/atom: 206.1
# Total magnetization in μB per atom: 1.007
# Energy in eV/atom: -3.76
# DOS(E_F) in states/eV per atom: 0.81
# Energy relative to the elements, uncorrected in eV/f.u.: 6.40

=====

Entry 5:
# CuPbW2 PBE relaxed
data_CuPbW2
_chemical_formula_sum 'Cu1 Pb1 W2'
_cell_length_a 3.321
_cell_length_b 4.429
_cell_length_c 4.667
_cell_angle_alpha 90.00
_cell_angle_beta 90.00
_cell_angle_gamma 90.00
_space_group_name_H-M_alt 'P m m m'
_space_group_IT_number 47
loop_
_space_group_symop_operation_xyz
'x,y,z'
'-x,-y,-z'
'-x,-y,z'
'x,y,-z'
'x,-y,-z'
'-x,y,z'
'-x,y,-z'
'x,-y,z'
loop_
_atom_site_label
_atom_site_type_symbol
_atom_site_fract_x
_atom_site_fract_y
_atom_site_fract_z
Cu1 Cu 0.000 0.000 0.000
Pb1 Pb 0.500 0.500 0.000
W1 W 0.000 0.500 0.500
W2 W 0.500 0.000 0.500
# Crystal system: orthorhombic
# Total magnetization in μB per atom: 0.000
# Energy in eV/atom: -7.63
# DOS(E_F) in states/eV per atom: 0.69

=====

Entry 6:
# KInTe2 PBE relaxed
data_KInTe2
_chemical_formula_sum 'K1 In1 Te2'
_cell_length_a 5.083
_cell_length_b 5.083
_cell_length_c 4.993
_cell_angle_alpha 90.00
_cell_angle_beta 90.00
_cell_angle_gamma 90.00
_space_group_name_H-M_alt 'P 4/m m m'
_space_group_IT_number 123
_space_group_name_Hall '-P 4 2'
loop_
_atom_site_label
_atom_site_type_symbol
_atom_site_fract_x
_atom_site_fract_y
_atom_site_fract_z
K1 K 0.000 0.000 0.000
In1 In 0.500 0.500 0.000
Te1 Te 0.000 0.500 0.500
# Crystal system: tetragonal
# Total magnetization in μB per atom: 0.000
# Energy in eV/atom: -2.88
# DOS(E_F) in states/eV per atom: 0.52
# Energy relative to the elements, uncorrected in eV/f.u.: -1.42